Material: ThZn2Cd2
Method: DFT, PBE-GGA
State: relaxed

## Properties
Energy relative to the elements, eV/atom: -0.191
Total energy, eV per atom: -2.5505
Crystal system: tetragonal
Volume, Å³ per cell: 108

```
ThZn2Cd2
1.0
-2.1830 2.1830 5.6893
2.1830 -2.1830 5.6893
2.1830 2.1830 -5.6893
Th Zn Cd
1 2 2
direct
0.0000 0.0000 0.0000 Th
0.3952 0.3952 0.0000 Zn
0.6048 0.6048 0.0000 Zn
0.2500 0.7500 0.5000 Cd
0.7500 0.2500 0.5000 Cd
```